First-principles (PBE-GGA) data for crystalline Cs2Sn3HgS8 at its relaxed geometry, as listed in OQMD.

Output
DFT total energy: -222.593 eV per cell

Structure (CIF):
```
data_Cs2Sn3HgS8
_chemical_formula_sum 'Cs8 Sn12 Hg4 S32'
_cell_length_a 7.848
_cell_length_b 12.841
_cell_length_c 18.197
_cell_angle_alpha 90.00
_cell_angle_beta 90.00
_cell_angle_gamma 90.00
_symmetry_space_group_name_H-M 'P 21 21 21'
_symmetry_Int_Tables_number 19
_symmetry_space_group_name_Hall 'P 2ac 2ab'
loop_
_atom_site_label
_atom_site_type_symbol
_atom_site_fract_x
_atom_site_fract_y
_atom_site_fract_z
Cs1 Cs 0.234 0.194 0.162
Cs2 Cs 0.245 0.139 0.555
Sn1 Sn 0.018 0.480 0.652
Sn2 Sn 0.230 0.430 0.984
Sn3 Sn 0.233 0.453 0.321
Hg1 Hg 0.027 0.997 0.350
S1 S 0.001 0.596 0.761
S2 S 0.009 0.610 0.551
S3 S 0.023 0.886 0.230
S4 S 0.030 0.874 0.463
S5 S 0.227 0.870 0.855
S6 S 0.232 0.623 0.158
S7 S 0.235 0.616 0.948
S8 S 0.237 0.637 0.358
```